(1)
Compound: LuZnHg
Source: Alexandria
Functional: PBE
Structure: optimized geometry

E_form = -0.1824 eV/atom
Final energy = -2.21 eV per atom
Magnetic moment = 0.00 Bohr magnetons per cell
Space group = F-43m

a = 4.6078 Å, b = 4.6078 Å, c = 4.6078 Å
α = 60.00°, β = 60.00°, γ = 60.00°
Closest atoms and distances in Å follow each position.
Atoms (fractional coordinates):
Lu (0.0000, 0.0000, 0.0000)  4 Zn 2.82
Zn (0.7500, 0.7500, 0.7500)  4 Hg 2.82, 4 Lu 2.82
Hg (0.5000, 0.5000, 0.5000)  4 Zn 2.82

***

(2)
Compound: AsIr2
Source: Alexandria
Functional: PBE
Structure: optimized geometry

E_form = 0.2755 eV/atom
Final energy = -7.18 eV per atom
Magnetic moment = 0.00 Bohr magnetons per cell
Space group = I4/mmm

a = 5.6866 Å, b = 5.6866 Å, c = 5.6866 Å
α = 150.34°, β = 150.34°, γ = 42.45°
Closest atoms and distances in Å follow each position.
Atoms (fractional coordinates):
As (0.0000, 0.0000, 0.0000)  8 Ir 2.64, 4 As 2.91
Ir (0.3437, 0.3437, 0.0000)  4 As 2.64, 8 Ir 2.86-2.91
Ir (0.6563, 0.6563, 0.0000)  4 As 2.64, 8 Ir 2.86-2.91

***

(3)
Compound: PmPr4
Source: Alexandria
Functional: PBE
Structure: optimized geometry

Relative energy among the computed polymorphs = 571 meV per atom
E_form = 0.5853 eV/atom
Final energy = -4.19 eV per atom
Magnetic moment = 0.55 Bohr magnetons per cell
Space group = Pm-3m

a = 5.9076 Å, b = 5.9076 Å, c = 5.9076 Å
α = 90.00°, β = 90.00°, γ = 90.00°
Closest atoms and distances in Å follow each position.
Atoms (fractional coordinates):
Pm (0.0000, 0.0000, 0.0000)  6 Pr 2.95
Pr (0.0000, 0.0000, 0.5000)  2 Pm 2.95
Pr (0.0000, 0.5000, 0.0000)  2 Pm 2.95
Pr (0.5000, 0.0000, 0.0000)  2 Pm 2.95
Pr (0.5000, 0.5000, 0.5000)  12 Pr 4.18

***

(4)
Compound: KP2PbO
Source: Alexandria
Functional: PBE
Structure: optimized geometry

Formation energy without anion corrections = 0.38 eV/atom
Relative energy among the computed polymorphs = 0 meV per atom
Final energy = -3.74 eV per atom
Magnetic moment = 3.10 Bohr magnetons per cell
Space group = P4/mmm

a = 5.5339 Å, b = 5.5339 Å, c = 4.4644 Å
α = 90.00°, β = 90.00°, γ = 90.00°
Closest atoms and distances in Å follow each position.
Atoms (fractional coordinates):
K (0.0000, 0.0000, 0.0000)  8 P 3.56, 4 O 3.91
P (0.0000, 0.5000, 0.5000)  2 Pb 2.77
P (0.5000, 0.0000, 0.5000)  2 Pb 2.77
Pb (0.5000, 0.5000, 0.5000)  2 O 2.23
O (0.5000, 0.5000, 0.0000)  2 Pb 2.23

***

| no. | calculated volume (Å³/cell) |
| --- | --- |
| 1 | 69 |
| 2 | 45 |
| 3 | 206 |
| 4 | 137 |